w | Crystalline LuTlCuAu at its relaxed geometry. Source: OQMD via LeMat-Bulk, functional GGA-PBE.

Magnetic moment = 0.00 μB/cell
Crystal system = cubic
V = 19.96 A^3/atom

a b c (Å): 4.8337 4.8337 4.8337
angles (deg): 60.00 60.00 60.00
Fractional positions:
Lu 0.5000 0.5000 0.5000
Tl 0.0000 0.0000 0.0000
Au 0.2500 0.2500 0.2500
Cu 0.7500 0.7500 0.7500

x | Crystalline LuTlCuAu at its relaxed geometry. Source: OQMD via LeMat-Bulk, functional GGA-PBE.

Magnetic moment = 0.00 μB/cell
Crystal system = cubic
V = 20.01 A^3/atom

a b c (Å): 4.8377 4.8377 4.8377
angles (deg): 60.00 60.00 60.00
Fractional positions:
Lu 0.0000 0.0000 0.0000
Tl 0.2500 0.2500 0.2500
Cu 0.5000 0.5000 0.5000
Au 0.7500 0.7500 0.7500

y | Crystalline LuTlCuAu at its relaxed geometry. Source: OQMD via LeMat-Bulk, functional GGA-PBE.

Magnetic moment = 0.00 μB/cell
Crystal system = cubic
V = 19.66 A^3/atom

a b c (Å): 4.8087 4.8087 4.8087
angles (deg): 60.00 60.00 60.00
Fractional positions:
Lu 0.2500 0.2500 0.2500
Tl 0.5000 0.5000 0.5000
Cu 0.0000 0.0000 0.0000
Au 0.7500 0.7500 0.7500

Ranking the structures above by energy, w is first and the second is 6.2 kJ/mol of atoms behind.